Record 1
Here is a geometry-optimized Tm2ThO structure from Alexandria. Energies are from GGA-PBE.

The space group is R-3m (No. 166, hexagonal axes) and the conventional cell measures 3.4497, 3.4497 and 26.0081 Å, with angles of 90.00, 90.00 and 120.00 degrees. The inequivalent atoms are Tm at (0.0000, 0.0000, 0.2190), Th at (0.0000, 0.0000, 0.0000) and O at (0.0000, 0.0000, 0.5000).

The uncorrected formation energy comes out at -5.55 eV per formula unit. The value obtained for the energy above the lowest structure with this stoichiometry is 0 meV per atom.



Record 2
Here is a geometry-optimized AlHgI4 structure from Alexandria. Energies are from GGA-PBE.

The space group is P1 (No. 1) and the conventional cell measures 6.140, 7.069 and 7.685 Å, with angles of 114.07, 109.29 and 96.10 degrees. The inequivalent atoms are Al at (0.000, 0.000, 0.000), Hg at (0.559, 0.158, 0.716), I at (0.075, 0.145, 0.742), I at (0.339, 0.883, 0.186), I at (0.635, 0.670, 0.739) and I at (0.923, 0.321, 0.255).

The uncorrected formation energy comes out at -2.69 eV per formula unit.



Record 3
Here is a geometry-optimized Tb2Zn4GaAu3 structure from Alexandria. Energies are from GGA-PBE.

The space group is P-4m2 (No. 115) and the conventional cell measures 4.104, 4.104 and 11.616 Å, with angles of 90.00, 90.00 and 90.00 degrees. The inequivalent atoms are Tb at (0.000, 0.500, 0.244), Zn at (0.000, 0.000, 0.500), Zn at (0.000, 0.500, 0.863), Zn at (0.500, 0.500, 0.500), Ga at (0.500, 0.500, 0.000), Au at (0.000, 0.000, 0.000) and Au at (0.000, 0.500, 0.646).

Its formation enthalpy at 0 K is -0.498 eV per atom.